# 1
Entry from the Alexandria database: a geometry-optimized TcNiS2 structure (PBE-GGA).

## Properties
The density of states at the Fermi level is 14.3 states/eV per cell. The value obtained for the formation energy (no corrections) is -270 meV/atom. The total magnetic moment is 0.00 Bohr magnetons per cell. The calculation puts the raw total energy at -25.484 eV per formula unit. The value obtained for the energy above the most stable polymorph in this dataset is 0.44 eV per formula unit.

Unit cell a=5.181 b=5.181 c=10.227 alpha=90.00 beta=90.00 gamma=90.00
Space group I-42d (No. 122)
Unique sites:
Tc: 0.000 0.000 0.000 x4
Ni: 0.000 0.000 0.500 x4
S: 0.240 0.250 0.625 x8

=====

# 2
Entry from the Alexandria database: a geometry-optimized TcNiS2 structure (PBE-GGA).

## Properties
The density of states at the Fermi level is 11.9 states/eV per cell. The value obtained for the formation energy (no corrections) is -306 meV/atom. The total magnetic moment is 0.00 Bohr magnetons per cell. The calculation puts the raw total energy at -25.627 eV per formula unit. The value obtained for the energy above the most stable polymorph in this dataset is 0.30 eV per formula unit.

Unit cell a=12.432 b=3.157 c=6.077 alpha=90.00 beta=96.96 gamma=90.00
Space group Cm (No. 8)
Unique sites:
Tc: 0.000 0.000 0.000 x2
Tc: 0.191 0.500 0.038 x2
Ni: 0.012 0.500 0.387 x2
Ni: 0.323 0.000 0.519 x2
S: 0.050 0.500 0.751 x2
S: 0.143 0.000 0.307 x2
S: 0.321 0.500 0.776 x2
S: 0.371 0.500 0.277 x2

=====

# 3
Entry from the Alexandria database: a geometry-optimized TcNiS2 structure (PBE-GGA).

## Properties
The density of states at the Fermi level is 4.5 states/eV per cell. The value obtained for the formation energy (no corrections) is -379 meV/atom. The total magnetic moment is 0.00 Bohr magnetons per cell. The calculation puts the raw total energy at -25.919 eV per formula unit. The value obtained for the energy above the most stable polymorph in this dataset is 0.00 eV per formula unit.

Unit cell a=3.080 b=6.746 c=7.589 alpha=68.84 beta=78.74 gamma=90.00
Space group P-1 (No. 2)
Unique sites:
Tc: 0.233 0.152 0.036 x2
Ni: 0.182 0.484 0.143 x2
S: 0.145 0.777 0.219 x2
S: 0.377 0.760 0.735 x2

=====

> Which of these has the lowest formation energy (no corrections)?

number 3